[1]
The following is a DFT calculation (PBE-GGA) of a geometry-optimized TbSc2Tl3S6 structure.

Computed properties:
E_tot = -66.0 eV for the cell shown
E_form (uncorrected) = -1403 meV/atom
Theoretical density = 5941 kg/m³
Volume = 24.56 Å³/atom

Cell: 6.738 6.738 7.821 Å, 98.26 98.26 119.95°
Fractional coordinates of all 12 atoms:
Tb  0.000  0.000  0.000
Sc  0.333  0.667  0.000
Sc  0.667  0.333  0.000
Tl  0.164  0.836  0.500
Tl  0.500  0.500  0.500
Tl  0.836  0.164  0.500
S  0.064  0.412  0.193
S  0.285  0.285  0.810
S  0.412  0.064  0.193
S  0.588  0.936  0.807
S  0.715  0.715  0.190
S  0.936  0.588  0.807

[2]
The following is a DFT calculation (PBE-GGA) of a geometry-optimized Tb3TmSc2S6 structure.

Computed properties:
DOS at the Fermi energy = 0.448 states/eV/atom
E_tot = -79.1 eV for the cell shown
E_form (uncorrected) = -1944 meV/atom
Theoretical density = 6431 kg/m³
Volume = 19.97 Å³/atom

Cell: 6.636 6.636 6.673 Å, 99.50 99.50 120.20°
Fractional coordinates of all 12 atoms:
Tb  0.000  0.000  0.000
Tb  0.335  0.665  0.000
Tb  0.665  0.335  0.000
Tm  0.500  0.500  0.500
Sc  0.167  0.833  0.500
Sc  0.833  0.167  0.500
S  0.082  0.421  0.264
S  0.239  0.239  0.734
S  0.421  0.082  0.264
S  0.579  0.918  0.736
S  0.761  0.761  0.266
S  0.918  0.579  0.736

[3]
The following is a DFT calculation (PBE-GGA) of a geometry-optimized Tb4Tm3ScS8 structure.

Computed properties:
DOS at the Fermi energy = 0.570 states/eV/atom
E_tot = -102.6 eV for the cell shown
E_form (uncorrected) = -1955 meV/atom
Theoretical density = 7319 kg/m³
Volume = 20.48 Å³/atom

Cell: 7.762 7.762 7.762 Å, 59.59 59.59 59.59°
Fractional coordinates of all 16 atoms:
Tb  0.000  0.000  0.000
Tb  0.000  0.500  0.500
Tb  0.500  0.000  0.500
Tb  0.500  0.500  0.000
Tm  0.000  0.000  0.500
Tm  0.000  0.500  0.000
Tm  0.500  0.000  0.000
Sc  0.500  0.500  0.500
S  0.247  0.247  0.247
S  0.250  0.744  0.744
S  0.256  0.256  0.750
S  0.256  0.750  0.256
S  0.744  0.250  0.744
S  0.744  0.744  0.250
S  0.750  0.256  0.256
S  0.753  0.753  0.753

[4]
The following is a DFT calculation (PBE-GGA) of a geometry-optimized Tb2Tm3ScS6 structure.

Computed properties:
DOS at the Fermi energy = 0.448 states/eV/atom
E_tot = -77.0 eV for the cell shown
E_form (uncorrected) = -1939 meV/atom
Theoretical density = 7289 kg/m³
Volume = 20.16 Å³/atom

Cell: 8.596 8.596 7.728 Å, 103.10 103.10 25.83°
Fractional coordinates of all 12 atoms:
Tb  0.166  0.166  0.333
Tb  0.834  0.834  0.667
Tm  0.169  0.169  0.834
Tm  0.500  0.500  0.500
Tm  0.831  0.831  0.166
Sc  0.500  0.500  0.000
S  0.003  0.003  0.757
S  0.335  0.335  0.412
S  0.337  0.337  0.924
S  0.663  0.663  0.076
S  0.665  0.665  0.588
S  0.997  0.997  0.243